## FeTeRu (PBE-GGA)

Data for FeTeRu after structural relaxation.

Summary:
The total magnetic moment is 3.378 μB/f.u. The calculation puts the energy above the most stable polymorph in this dataset at 0.205 eV/atom. As for the formation energy without anion corrections: 0.368 eV/atom. The value obtained for the raw total energy is -6.59 eV/atom.

Lattice parameters (Å, degrees): 3.4573 3.4573 8.1941 90.00 90.00 90.00
Closest atoms and distances in Å follow each position.
Space group I4mm (No. 107)
Symmetry-distinct sites (fractional):
Fe  0.0000  0.0000  0.0000 x2  5 Te 2.64-2.85, 5 Ru 2.74-2.86
Te  0.0000  0.0000  0.3218 x2  5 Fe 2.64-2.85, 5 Ru 2.70-2.82
Ru  0.0000  0.0000  0.6511 x2  5 Te 2.70-2.82, 5 Fe 2.74-2.86